[1]
First-principles (PBE-GGA) data for a relaxed HgBiAu3 crystal, as listed in Alexandria via LeMat-Bulk.

- Formation energy from the elements: 0.17 eV per formula unit
- Energy above the most stable polymorph in this dataset: 0.000 eV/atom
- Raw total energy: -27.68 eV/cell
- Calculated volume: 227 Å³ per cell
- Crystal system: monoclinic

Cell: 5.3933 6.1841 7.0437 Å, 90.00 90.00 104.82°
Fractional coordinates of all 10 atoms:
Au  0.6956  0.3849  0.9524
Au  0.3044  0.6151  0.4524
Au  0.9844  0.2326  0.2500
Au  0.0156  0.7674  0.7500
Au  0.6956  0.3849  0.5476
Au  0.3044  0.6151  0.0476
Hg  0.4300  0.0754  0.2500
Hg  0.5700  0.9246  0.7500
Bi  0.8413  0.7425  0.2500
Bi  0.1587  0.2575  0.7500


[2]
First-principles (PBE-GGA) data for a relaxed Hg2BiAu crystal, as listed in Alexandria via LeMat-Bulk.

- Formation energy from the elements: 0.55 eV per formula unit
- Raw total energy: -7.21 eV/cell
- Calculated volume: 98 Å³ per cell
- Crystal system: tetragonal

Cell: 3.5177 3.5177 7.9018 Å, 90.00 90.00 90.00°
Fractional coordinates of all 4 atoms:
Hg  0.0000  0.0000  0.2131
Hg  0.0000  0.0000  0.7869
Au  0.5000  0.5000  0.0000
Bi  0.5000  0.5000  0.5000


[3]
First-principles (PBE-GGA) data for a relaxed Hg2Bi2Au3 crystal, as listed in Alexandria via LeMat-Bulk.

- Formation energy from the elements: 0.30 eV per formula unit
- Raw total energy: -35.80 eV/cell
- Calculated volume: 347 Å³ per cell
- Crystal system: monoclinic

Cell: 5.6535 8.7471 7.2893 Å, 105.72 90.00 90.00°
Fractional coordinates of all 14 atoms:
Au  0.5618  0.9826  0.8053
Au  0.4382  0.0174  0.1947
Au  0.9382  0.4826  0.3053
Au  0.0618  0.5174  0.6947
Au  0.0000  0.0000  0.0000
Au  0.5000  0.5000  0.5000
Bi  0.8320  0.2939  0.9069
Bi  0.3320  0.2061  0.5931
Bi  0.6680  0.7939  0.4069
Bi  0.1680  0.7061  0.0931
Hg  0.3529  0.3262  0.1131
Hg  0.8529  0.1738  0.3869
Hg  0.6471  0.6738  0.8869
Hg  0.1471  0.8262  0.6131


[4]
First-principles (PBE-GGA) data for a relaxed Hg2BiAu2 crystal, as listed in Alexandria via LeMat-Bulk.

- Formation energy from the elements: 0.60 eV per formula unit
- Energy above the most stable polymorph in this dataset: 0.072 eV/atom
- Raw total energy: -10.44 eV/cell
- Calculated volume: 124 Å³ per cell
- Crystal system: tetragonal

Cell: 3.8919 3.8919 8.6125 Å, 76.94 76.94 90.00°
Fractional coordinates of all 5 atoms:
Bi  0.0000  0.0000  0.0000
Au  0.7500  0.2500  0.5000
Au  0.2500  0.7500  0.5000
Hg  0.6102  0.6102  0.7795
Hg  0.3898  0.3898  0.2205


[5]
First-principles (PBE-GGA) data for a relaxed HgBi2Au2 crystal, as listed in Alexandria via LeMat-Bulk.

- Formation energy from the elements: -0.04 eV per formula unit
- Energy above the most stable polymorph in this dataset: 0.000 eV/atom
- Raw total energy: -29.31 eV/cell
- Calculated volume: 279 Å³ per cell
- Crystal system: triclinic

Cell: 6.3954 6.8792 7.0106 Å, 86.54 94.51 65.70°
Fractional coordinates of all 10 atoms:
Au  0.4259  0.7193  0.4314
Au  0.5741  0.7807  0.0686
Au  0.5741  0.2807  0.5686
Au  0.4259  0.2193  0.9314
Hg  0.0000  0.7500  0.2499
Hg  0.0000  0.2500  0.7501
Bi  0.7222  0.3363  0.2007
Bi  0.2778  0.6637  0.7993
Bi  0.2778  0.1637  0.2993
Bi  0.7222  0.8363  0.7007


[6]
First-principles (PBE-GGA) data for a relaxed Hg2BiAu crystal, as listed in Alexandria via LeMat-Bulk.

- Formation energy from the elements: 0.08 eV per formula unit
- Raw total energy: -15.37 eV/cell
- Calculated volume: 229 Å³ per cell
- Crystal system: monoclinic

Cell: 4.1729 4.1705 13.1692 Å, 90.00 90.00 90.00°
Fractional coordinates of all 8 atoms:
Au  0.7499  0.8345  0.6173
Au  0.2501  0.3345  0.3827
Hg  0.7533  0.8383  0.8297
Hg  0.2521  0.3382  0.9311
Hg  0.7479  0.8382  0.0689
Hg  0.2467  0.3383  0.1703
Bi  0.2500  0.3345  0.5985
Bi  0.7500  0.8345  0.4015


[7]
First-principles (PBE-GGA) data for a relaxed Hg2BiAu2 crystal, as listed in Alexandria via LeMat-Bulk.

- Formation energy from the elements: 0.44 eV per formula unit
- Energy above the most stable polymorph in this dataset: 0.040 eV/atom
- Raw total energy: -21.20 eV/cell
- Calculated volume: 233 Å³ per cell
- Crystal system: tetragonal

Cell: 7.9563 7.9563 3.6791 Å, 90.00 90.00 90.00°
Fractional coordinates of all 10 atoms:
Hg  0.1680  0.6680  0.5000
Hg  0.8320  0.3320  0.5000
Hg  0.6680  0.8320  0.5000
Hg  0.3320  0.1680  0.5000
Au  0.1291  0.3709  0.0000
Au  0.3709  0.8709  0.0000
Au  0.6291  0.1291  0.0000
Au  0.8709  0.6291  0.0000
Bi  0.5000  0.5000  0.0000
Bi  0.0000  0.0000  0.0000


[8]
First-principles (PBE-GGA) data for a relaxed HgBi4Au2 crystal, as listed in Alexandria via LeMat-Bulk.

- Formation energy from the elements: 0.17 eV per formula unit
- Energy above the most stable polymorph in this dataset: 0.000 eV/atom
- Raw total energy: -44.41 eV/cell
- Calculated volume: 432 Å³ per cell
- Crystal system: monoclinic

Cell: 7.5361 7.5367 9.2677 Å, 113.70 113.69 90.77°
Fractional coordinates of all 14 atoms:
Au  0.1250  0.3750  0.7500
Au  0.6250  0.3750  0.7500
Au  0.6250  0.3750  0.2500
Au  0.6250  0.8750  0.2500
Bi  0.8159  0.0493  0.6375
Bi  0.9507  0.1840  0.3624
Bi  0.4118  0.1783  0.3623
Bi  0.4283  0.1618  0.8622
Bi  0.4341  0.7007  0.8625
Bi  0.8217  0.5882  0.6378
Bi  0.2993  0.5660  0.1376
Bi  0.8382  0.5717  0.1377
Hg  0.2510  0.7486  0.5000
Hg  0.9990  0.0014  0.0000


[9]
First-principles (PBE-GGA) data for a relaxed HgBi4Au crystal, as listed in Alexandria via LeMat-Bulk.

- Formation energy from the elements: 0.38 eV per formula unit
- Raw total energy: -37.46 eV/cell
- Calculated volume: 378 Å³ per cell
- Crystal system: monoclinic

Cell: 7.3636 7.1324 8.7021 Å, 111.31 112.22 96.29°
Fractional coordinates of all 12 atoms:
Bi  0.4880  0.7584  0.9884
Bi  0.9996  0.7699  0.0116
Bi  0.2238  0.9986  0.4883
Bi  0.7762  0.0014  0.5117
Bi  0.0004  0.2301  0.9884
Bi  0.7645  0.4897  0.4883
Bi  0.2355  0.5103  0.5117
Bi  0.5120  0.2416  0.0116
Hg  0.3770  0.6270  0.2539
Hg  0.6230  0.3730  0.7461
Au  0.1280  0.8780  0.7559
Au  0.8720  0.1220  0.2441


[10]
First-principles (PBE-GGA) data for a relaxed Hg2BiAu2 crystal, as listed in Alexandria via LeMat-Bulk.

- Formation energy from the elements: 0.24 eV per formula unit
- Energy above the most stable polymorph in this dataset: 0.000 eV/atom
- Raw total energy: -21.60 eV/cell
- Calculated volume: 261 Å³ per cell
- Crystal system: orthorhombic

Cell: 3.7563 7.0944 10.1747 Å, 90.00 90.00 105.35°
Fractional coordinates of all 10 atoms:
Au  0.9999  0.9998  0.3971
Au  0.0001  0.0002  0.8971
Au  0.2547  0.5094  0.1474
Au  0.7453  0.4906  0.6474
Hg  0.3537  0.7075  0.4829
Hg  0.6463  0.2925  0.9829
Hg  0.6459  0.2918  0.3109
Hg  0.3541  0.7082  0.8109
Bi  0.9094  0.8188  0.1470
Bi  0.0906  0.1812  0.6470


[11]
First-principles (PBE-GGA) data for a relaxed HgBiAu3 crystal, as listed in Alexandria via LeMat-Bulk.

- Formation energy from the elements: 3.11 eV per formula unit
- Energy above the most stable polymorph in this dataset: 0.587 eV/atom
- Raw total energy: -10.91 eV/cell
- Calculated volume: 139 Å³ per cell
- Crystal system: cubic

Cell: 5.1746 5.1746 5.1746 Å, 90.00 90.00 90.00°
Fractional coordinates of all 5 atoms:
Au  0.0000  0.0000  0.5000
Au  0.5000  0.0000  0.0000
Au  0.0000  0.5000  0.0000
Bi  0.5000  0.5000  0.5000
Hg  0.0000  0.0000  0.0000


[12]
First-principles (PBE-GGA) data for a relaxed Hg2Bi2Au crystal, as listed in Alexandria via LeMat-Bulk.

- Formation energy from the elements: 0.24 eV per formula unit
- Energy above the most stable polymorph in this dataset: 0.000 eV/atom
- Raw total energy: -22.81 eV/cell
- Calculated volume: 269 Å³ per cell
- Crystal system: orthorhombic

Cell: 5.8007 6.7087 8.2225 Å, 114.08 110.65 90.00°
Fractional coordinates of all 10 atoms:
Bi  0.9048  0.7588  0.8096
Bi  0.5952  0.9492  0.1904
Bi  0.4048  0.0508  0.8096
Bi  0.0952  0.2412  0.1904
Hg  0.3190  0.4879  0.6380
Hg  0.6810  0.5121  0.3620
Hg  0.1810  0.8499  0.3620
Hg  0.8190  0.1501  0.6380
Au  0.2500  0.5000  0.0000
Au  0.7500  0.5000  0.0000


[13]
First-principles (PBE-GGA) data for a relaxed HgBi2Au2 crystal, as listed in Alexandria via LeMat-Bulk.

- Formation energy from the elements: 0.59 eV per formula unit
- Energy above the most stable polymorph in this dataset: 0.126 eV/atom
- Raw total energy: -14.03 eV/cell
- Calculated volume: 144 Å³ per cell
- Crystal system: tetragonal

Cell: 5.3096 5.3096 6.3279 Å, 65.19 65.19 90.00°
Fractional coordinates of all 5 atoms:
Au  0.6369  0.6369  0.7261
Au  0.3631  0.3631  0.2739
Bi  0.2500  0.7500  0.5000
Bi  0.7500  0.2500  0.5000
Hg  0.0000  0.0000  0.0000


[14]
First-principles (PBE-GGA) data for a relaxed Hg2Bi2Au crystal, as listed in Alexandria via LeMat-Bulk.

- Formation energy from the elements: 1.77 eV per formula unit
- Energy above the most stable polymorph in this dataset: 0.306 eV/atom
- Raw total energy: -9.88 eV/cell
- Calculated volume: 151 Å³ per cell
- Crystal system: tetragonal

Cell: 4.4259 4.4259 8.3098 Å, 74.56 74.56 90.00°
Fractional coordinates of all 5 atoms:
Hg  0.4105  0.4105  0.1790
Hg  0.5895  0.5895  0.8210
Bi  0.2500  0.7500  0.5000
Bi  0.7500  0.2500  0.5000
Au  0.0000  0.0000  0.0000


[15]
First-principles (PBE-GGA) data for a relaxed Hg2BiAu crystal, as listed in Alexandria via LeMat-Bulk.

- Formation energy from the elements: 0.82 eV per formula unit
- Raw total energy: -6.94 eV/cell
- Calculated volume: 108 Å³ per cell
- Crystal system: trigonal

Cell: 3.3589 3.3589 11.2042 Å, 81.38 81.38 60.00°
Fractional coordinates of all 4 atoms:
Au  0.0000  0.0000  0.0000
Hg  0.9179  0.9179  0.2463
Hg  0.0821  0.0821  0.7537
Bi  0.5000  0.5000  0.5000


[16]
First-principles (PBE-GGA) data for a relaxed HgBiAu3 crystal, as listed in Alexandria via LeMat-Bulk.

- Formation energy from the elements: 2.27 eV per formula unit
- Energy above the most stable polymorph in this dataset: 0.420 eV/atom
- Raw total energy: -11.74 eV/cell
- Calculated volume: 160 Å³ per cell
- Crystal system: cubic

Cell: 5.4338 5.4338 5.4338 Å, 90.00 90.00 90.00°
Fractional coordinates of all 5 atoms:
Hg  0.5000  0.5000  0.5000
Au  0.5000  0.0000  0.0000
Au  0.0000  0.0000  0.5000
Au  0.0000  0.5000  0.0000
Bi  0.0000  0.0000  0.0000


[17]
First-principles (PBE-GGA) data for a relaxed Hg3BiAu3 crystal, as listed in Alexandria via LeMat-Bulk.

- Formation energy from the elements: 3.85 eV per formula unit
- Raw total energy: -21.54 eV/cell
- Calculated volume: 456 Å³ per cell
- Crystal system: cubic

Cell: 7.6972 7.6972 7.6972 Å, 90.00 90.00 90.00°
Fractional coordinates of all 14 atoms:
Hg  0.5000  0.0000  0.2500
Hg  0.5000  0.0000  0.7500
Hg  0.2500  0.5000  0.0000
Hg  0.7500  0.5000  0.0000
Hg  0.0000  0.7500  0.5000
Hg  0.0000  0.2500  0.5000
Au  0.5000  0.7500  0.0000
Au  0.0000  0.5000  0.2500
Au  0.7500  0.0000  0.5000
Au  0.2500  0.0000  0.5000
Au  0.5000  0.2500  0.0000
Au  0.0000  0.5000  0.7500
Bi  0.0000  0.0000  0.0000
Bi  0.5000  0.5000  0.5000


[18]
First-principles (PBE-GGA) data for a relaxed Hg2BiAu crystal, as listed in Alexandria via LeMat-Bulk.

- Formation energy from the elements: 0.28 eV per formula unit
- Raw total energy: -14.97 eV/cell
- Calculated volume: 207 Å³ per cell
- Crystal system: tetragonal

Cell: 4.3418 4.3418 11.3918 Å, 79.01 79.01 90.00°
Fractional coordinates of all 8 atoms:
Au  0.2500  0.7500  0.5000
Au  0.5000  0.5000  0.0000
Bi  0.0000  0.0000  0.0000
Bi  0.7500  0.2500  0.5000
Hg  0.6130  0.1250  0.2500
Hg  0.8750  0.8630  0.7500
Hg  0.1370  0.6250  0.2500
Hg  0.3750  0.3870  0.7500


[19]
First-principles (PBE-GGA) data for a relaxed HgBi2Au2 crystal, as listed in Alexandria via LeMat-Bulk.

- Formation energy from the elements: 0.18 eV per formula unit
- Energy above the most stable polymorph in this dataset: 0.043 eV/atom
- Raw total energy: -28.88 eV/cell
- Calculated volume: 249 Å³ per cell
- Crystal system: tetragonal

Cell: 7.6987 7.6987 4.1953 Å, 90.00 90.00 90.00°
Fractional coordinates of all 10 atoms:
Bi  0.3285  0.1715  0.5000
Bi  0.6715  0.8285  0.5000
Bi  0.8285  0.3285  0.5000
Bi  0.1715  0.6715  0.5000
Au  0.1314  0.3686  0.0000
Au  0.6314  0.1314  0.0000
Au  0.8686  0.6314  0.0000
Au  0.3686  0.8686  0.0000
Hg  0.0000  0.0000  0.0000
Hg  0.5000  0.5000  0.0000


[20]
First-principles (PBE-GGA) data for a relaxed Hg5Bi12Au3 crystal, as listed in Alexandria via LeMat-Bulk.

- Formation energy from the elements: 3.15 eV per formula unit
- Raw total energy: -219.07 eV/cell
- Calculated volume: 2745 Å³ per cell
- Crystal system: cubic

Cell: 15.2774 15.2774 15.2774 Å, 109.47 109.47 109.47°
Fractional coordinates of all 80 atoms:
Bi  0.6120  0.7408  0.6697
Bi  0.6120  0.8713  0.4423
Bi  0.1697  0.0577  0.9290
Bi  0.9290  0.5577  0.1697
Bi  0.8713  0.6120  0.9423
Bi  0.4290  0.6697  0.0577
Bi  0.3880  0.2592  0.3303
Bi  0.8713  0.2592  0.4290
Bi  0.7592  0.3303  0.8880
Bi  0.3303  0.5710  0.4423
Bi  0.9423  0.8303  0.5710
Bi  0.3713  0.9290  0.7592
Bi  0.3713  0.4423  0.1120
Bi  0.8880  0.8303  0.7592
Bi  0.1287  0.7408  0.5710
Bi  0.8303  0.8880  0.2592
Bi  0.5577  0.9290  0.6697
Bi  0.2592  0.3880  0.8303
Bi  0.0577  0.1697  0.4290
Bi  0.4290  0.7592  0.8713
Bi  0.3303  0.7592  0.3880
Bi  0.9423  0.1120  0.8713
Bi  0.6697  0.4290  0.5577
Bi  0.5577  0.6287  0.3880
Bi  0.1120  0.9423  0.3713
Bi  0.0710  0.4423  0.8303
Bi  0.1697  0.1120  0.7408
Bi  0.2592  0.8713  0.9290
Bi  0.5710  0.2408  0.1287
Bi  0.7408  0.1287  0.0710
Bi  0.1120  0.1697  0.2408
Bi  0.7592  0.4290  0.3713
Bi  0.2408  0.5710  0.6287
Bi  0.2408  0.6697  0.1120
Bi  0.4423  0.3713  0.6120
Bi  0.7408  0.6120  0.1697
Bi  0.3880  0.1287  0.5577
Bi  0.6697  0.2408  0.6120
Bi  0.5710  0.3303  0.9423
Bi  0.0710  0.6287  0.7408
Bi  0.8880  0.0577  0.6287
Bi  0.6287  0.5577  0.8880
Bi  0.8303  0.9423  0.0710
Bi  0.1287  0.3880  0.0577
Bi  0.0577  0.8880  0.1287
Bi  0.4423  0.0710  0.3303
Bi  0.6287  0.0710  0.2408
Bi  0.9290  0.3713  0.2592
Au  0.1250  0.8750  0.7500
Au  0.3750  0.6250  0.2500
Au  0.6250  0.2500  0.3750
Au  0.7500  0.3750  0.1250
Au  0.3750  0.7500  0.6250
Au  0.2500  0.1250  0.3750
Au  0.7500  0.8750  0.6250
Au  0.8750  0.1250  0.2500
Au  0.1250  0.2500  0.8750
Au  0.6250  0.3750  0.7500
Au  0.8750  0.7500  0.1250
Au  0.2500  0.6250  0.8750
Hg  0.5000  0.0000  0.0000
Hg  0.5000  0.0000  0.5000
Hg  0.5000  0.5000  0.0000
Hg  0.3750  0.2500  0.1250
Hg  0.1250  0.7500  0.3750
Hg  0.1250  0.3750  0.2500
Hg  0.8750  0.6250  0.7500
Hg  0.3750  0.1250  0.7500
Hg  0.5000  0.5000  0.5000
Hg  0.8750  0.2500  0.6250
Hg  0.2500  0.8750  0.1250
Hg  0.0000  0.5000  0.0000
Hg  0.0000  0.5000  0.5000
Hg  0.2500  0.3750  0.6250
Hg  0.0000  0.0000  0.5000
Hg  0.0000  0.0000  0.0000
Hg  0.6250  0.8750  0.2500
Hg  0.7500  0.6250  0.3750
Hg  0.6250  0.7500  0.8750
Hg  0.7500  0.1250  0.8750